Density functional theory data (PBE) for a geometry-optimized Nd4NO3 structure.

Cell: 5.0758 5.0758 5.0758 Å, 90.00 90.00 90.00°
With the nearest neighbours (Å) after each atom.
Fractional positions:
Nd (0.5000, 0.5000, 0.5000)  6 O 2.54
Nd (0.0000, 0.5000, 0.0000)  4 O 2.54, 2 N 2.54
Nd (0.5000, 0.0000, 0.0000)  4 O 2.54, 2 N 2.54
Nd (0.0000, 0.0000, 0.5000)  4 O 2.54, 2 N 2.54
O (0.0000, 0.5000, 0.5000)  6 Nd 2.54
N (0.0000, 0.0000, 0.0000)  6 Nd 2.54
O (0.5000, 0.5000, 0.0000)  6 Nd 2.54
O (0.5000, 0.0000, 0.5000)  6 Nd 2.54

## Properties
space group	No. 221
mass density	8.11	Mg/m³
magnetic moment	0.000	μB per atom
polymorph energy (0 for the lowest one)	10	meV/atom
formation energy (no corrections)	-2.428	eV per atom
DOS at the Fermi energy	0.290	states/eV/atom



Density functional theory data (PBE) for a geometry-optimized Nd4NO3 structure.

Cell: 5.0729 5.0729 6.2233 Å, 114.05 114.05 90.00°
With the nearest neighbours (Å) after each atom.
Fractional positions:
Nd (0.0000, 0.5000, 0.0000)  2 N 2.54, 4 O 2.54
Nd (0.5000, 0.0000, 0.0000)  2 N 2.54, 4 O 2.54
O (0.2500, 0.7500, 0.5000)  6 Nd 2.54
O (0.7500, 0.2500, 0.5000)  6 Nd 2.54
N (0.0000, 0.0000, 0.0000)  6 Nd 2.49-2.54
Nd (0.7550, 0.7550, 0.5100)  1 N 2.49, 5 O 2.54-2.59
Nd (0.2450, 0.2450, 0.4900)  1 N 2.49, 5 O 2.54-2.59
O (0.5000, 0.5000, 0.0000)  6 Nd 2.54-2.59

## Properties
space group	No. 139
mass density	8.11	Mg/m³
magnetic moment	0.000	μB per atom
polymorph energy (0 for the lowest one)	0	meV/atom
formation energy (no corrections)	-2.439	eV per atom
DOS at the Fermi energy	0.282	states/eV/atom



Density functional theory data (PBE) for a geometry-optimized Nd2NO structure.

Cell: 3.5451 6.0867 6.1481 Å, 90.00 90.00 90.00°
With the nearest neighbours (Å) after each atom.
Fractional positions:
Nd (0.5000, 0.2430, 0.8339)  3 N 2.52-2.58, 3 O 2.53-2.58
Nd (0.0000, 0.2570, 0.3339)  3 N 2.52-2.58, 3 O 2.53-2.58
N (0.5000, 0.5000, 0.5000)  6 Nd 2.52-2.58
N (0.0000, 0.0000, 0.0000)  6 Nd 2.52-2.58
O (0.5000, 0.0000, 0.5000)  6 Nd 2.53-2.58
O (0.0000, 0.5000, 0.0000)  6 Nd 2.53-2.58
Nd (0.5000, 0.7570, 0.1661)  3 N 2.52-2.58, 3 O 2.53-2.58
Nd (0.0000, 0.7430, 0.6661)  3 N 2.52-2.58, 3 O 2.53-2.58

## Properties
space group	No. 58
mass density	7.97	Mg/m³
magnetic moment	0.000	μB per atom
polymorph energy (0 for the lowest one)	98	meV/atom
formation energy (no corrections)	-2.049	eV per atom
DOS at the Fermi energy	0.463	states/eV/atom



Density functional theory data (PBE) for a geometry-optimized Nd4N2O structure.

Cell: 3.6135 3.6135 12.4870 Å, 81.68 81.68 60.00°
With the nearest neighbours (Å) after each atom.
Fractional positions:
Nd (0.2918, 0.2918, 0.1245)  3 N 2.52, 3 O 2.59
O (0.0000, 0.0000, 0.0000)  6 Nd 2.59
N (0.4129, 0.4129, 0.7612)  6 Nd 2.52-2.53
Nd (0.7082, 0.7082, 0.8755)  3 N 2.52, 3 O 2.59
N (0.5871, 0.5871, 0.2388)  6 Nd 2.52-2.53
Nd (0.1182, 0.1182, 0.6454)  3 N 2.53
Nd (0.8818, 0.8818, 0.3546)  3 N 2.53

## Properties
space group	No. 166
mass density	7.41	Mg/m³
magnetic moment	0.113	μB per atom
polymorph energy (0 for the lowest one)	0	meV/atom
formation energy (no corrections)	-1.587	eV per atom
DOS at the Fermi energy	0.547	states/eV/atom



Density functional theory data (PBE) for a geometry-optimized Nd4N2O3 structure.

Cell: 3.6081 6.2332 7.9395 Å, 80.32 76.87 73.18°
With the nearest neighbours (Å) after each atom.
Fractional positions:
Nd (0.2477, 0.8406, 0.6640)  3 N 2.33-2.34
N (0.6353, 0.0901, 0.6394)  4 Nd 2.30-2.34
Nd (0.5814, 0.7203, 0.1170)  1 N 2.30, 5 O 2.42-2.57
N (0.3647, 0.9099, 0.3606)  4 Nd 2.30-2.34
O (0.8122, 0.5493, 0.8263)  5 Nd 2.42-2.72
Nd (0.4186, 0.2797, 0.8830)  1 N 2.30, 5 O 2.42-2.57
O (0.1878, 0.4507, 0.1737)  5 Nd 2.42-2.72
Nd (0.7523, 0.1594, 0.3360)  3 N 2.33-2.34
O (0.0000, 0.0000, 0.0000)  4 Nd 2.55

## Properties
space group	No. 12
mass density	6.55	Mg/m³
magnetic moment	0.000	μB per atom
formation energy (no corrections)	-2.324	eV per atom
DOS at the Fermi energy	0.000	states/eV/atom



Density functional theory data (PBE) for a geometry-optimized Nd4NO2 structure.

Cell: 3.6009 6.2918 6.9848 Å, 116.11 104.94 90.00°
With the nearest neighbours (Å) after each atom.
Fractional positions:
Nd (0.6239, 0.2796, 0.2479)  2 N 2.54, 3 O 2.54
O (0.7452, 0.7297, 0.4904)  6 Nd 2.54-2.58
O (0.2548, 0.2703, 0.5096)  6 Nd 2.54-2.58
Nd (0.3761, 0.7204, 0.7521)  2 N 2.54, 3 O 2.54
Nd (0.8670, 0.1864, 0.7341)  1 N 2.55, 3 O 2.56-2.58
N (0.0000, 0.0000, 0.0000)  6 Nd 2.54-2.55
Nd (0.1330, 0.8136, 0.2659)  1 N 2.55, 3 O 2.56-2.58

## Properties
space group	No. 12
mass density	7.60	Mg/m³
magnetic moment	0.001	μB per atom
formation energy (no corrections)	-1.886	eV per atom
DOS at the Fermi energy	0.649	states/eV/atom



Density functional theory data (PBE) for a geometry-optimized Nd4N2O structure.

Cell: 3.5540 6.2557 7.0675 Å, 114.98 104.56 90.00°
With the nearest neighbours (Å) after each atom.
Fractional positions:
Nd (0.3676, 0.7058, 0.7351)  3 N 2.50-2.52, 2 O 2.63
Nd (0.8648, 0.1853, 0.7296)  3 N 2.51-2.55, 1 O 2.58
O (0.0000, 0.0000, 0.0000)  6 Nd 2.58-2.63
Nd (0.6324, 0.2942, 0.2649)  3 N 2.50-2.52, 2 O 2.63
N (0.7457, 0.7374, 0.4914)  6 Nd 2.50-2.55
N (0.2543, 0.2626, 0.5086)  6 Nd 2.50-2.55
Nd (0.1352, 0.8147, 0.2704)  3 N 2.51-2.55, 1 O 2.58

## Properties
space group	No. 12
mass density	7.54	Mg/m³
magnetic moment	0.000	μB per atom
polymorph energy (0 for the lowest one)	52	meV/atom
formation energy (no corrections)	-1.535	eV per atom
DOS at the Fermi energy	0.631	states/eV/atom



Density functional theory data (PBE) for a geometry-optimized NdNO structure.

Cell: 3.3363 3.3363 8.5442 Å, 101.26 101.26 90.00°
With the nearest neighbours (Å) after each atom.
Fractional positions:
N (0.5365, 0.5365, 0.0730)  1 N 1.20
N (0.4635, 0.4635, 0.9270)  1 N 1.20
O (0.3023, 0.3023, 0.6047)  5 Nd 2.38-2.45, 1 N 2.65
Nd (0.1576, 0.1576, 0.3153)  5 O 2.38-2.45
O (0.6977, 0.6977, 0.3953)  5 Nd 2.38-2.45, 1 N 2.65
Nd (0.8424, 0.8424, 0.6847)  5 O 2.38-2.45

## Properties
space group	No. 139
mass density	6.33	Mg/m³
magnetic moment	0.037	μB per atom
polymorph energy (0 for the lowest one)	0	meV/atom
formation energy (no corrections)	-1.816	eV per atom
DOS at the Fermi energy	0.678	states/eV/atom



Density functional theory data (PBE) for a geometry-optimized Nd2NO structure.

Cell: 6.2530 6.2467 8.0841 Å, 104.89 104.92 109.54°
With the nearest neighbours (Å) after each atom.
Fractional positions:
Nd (0.9414, 0.1834, 0.8748)  3 N 2.51-2.57, 3 O 2.53-2.59
O (0.4350, 0.1850, 0.3701)  6 Nd 2.53-2.60
Nd (0.4334, 0.6914, 0.8748)  3 N 2.51-2.57, 3 O 2.53-2.59
Nd (0.5666, 0.3086, 0.1252)  3 N 2.51-2.57, 3 O 2.53-2.59
N (0.8139, 0.0639, 0.1278)  6 Nd 2.51-2.57
Nd (0.0586, 0.8166, 0.1252)  3 N 2.51-2.57, 3 O 2.53-2.59
Nd (0.3038, 0.0611, 0.6247)  3 N 2.51-2.52, 3 O 2.59-2.61
N (0.0610, 0.3110, 0.6221)  6 Nd 2.51-2.57
Nd (0.6962, 0.9389, 0.3753)  3 N 2.51-2.52, 3 O 2.59-2.61
N (0.9390, 0.6890, 0.3779)  6 Nd 2.51-2.57
Nd (0.1790, 0.4364, 0.3753)  3 N 2.51-2.52, 3 O 2.59-2.61
O (0.5650, 0.8150, 0.6299)  6 Nd 2.53-2.60
N (0.1861, 0.9361, 0.8722)  6 Nd 2.51-2.57
O (0.3100, 0.5600, 0.1200)  6 Nd 2.53-2.61
Nd (0.8210, 0.5636, 0.6247)  3 N 2.51-2.52, 3 O 2.59-2.61
O (0.6900, 0.4400, 0.8800)  6 Nd 2.53-2.61

## Properties
space group	No. 15
mass density	7.94	Mg/m³
magnetic moment	0.000	μB per atom
polymorph energy (0 for the lowest one)	4	meV/atom
formation energy (no corrections)	-2.143	eV per atom
DOS at the Fermi energy	0.246	states/eV/atom



Density functional theory data (PBE) for a geometry-optimized Nd6N5O structure.

Cell: 6.3022 6.3022 6.3018 Å, 99.62 99.62 119.98°
With the nearest neighbours (Å) after each atom.
Fractional positions:
Nd (0.9160, 0.5786, 0.7484)  5 N 2.53-2.58, 1 O 2.60
N (0.1687, 0.8313, 0.5000)  6 Nd 2.53-2.59
N (0.6664, 0.3336, 0.0000)  6 Nd 2.57
Nd (0.5786, 0.9160, 0.7484)  5 N 2.53-2.58, 1 O 2.60
Nd (0.2534, 0.2534, 0.7466)  5 N 2.54-2.59, 1 O 2.61
Nd (0.0840, 0.4214, 0.2516)  5 N 2.53-2.58, 1 O 2.60
Nd (0.7466, 0.7466, 0.2534)  5 N 2.54-2.59, 1 O 2.61
N (0.3336, 0.6664, 0.0000)  6 Nd 2.57
O (0.0000, 0.0000, 0.0000)  6 Nd 2.60-2.61
N (0.8313, 0.1687, 0.5000)  6 Nd 2.53-2.59
N (0.5000, 0.5000, 0.5000)  6 Nd 2.54-2.58
Nd (0.4214, 0.0840, 0.2516)  5 N 2.53-2.58, 1 O 2.60

## Properties
space group	No. 12
mass density	7.73	Mg/m³
magnetic moment	0.000	μB per atom
formation energy (no corrections)	-1.655	eV per atom
DOS at the Fermi energy	0.242	states/eV/atom



Density functional theory data (PBE) for a geometry-optimized Nd2NO structure.

Cell: 3.5390 3.5390 6.5348 Å, 74.29 74.29 60.00°
With the nearest neighbours (Å) after each atom.
Fractional positions:
Nd (0.2559, 0.2559, 0.2322)  3 N 2.51, 3 O 2.66
O (0.4982, 0.4982, 0.5055)  6 Nd 2.61-2.66
N (0.6680, 0.6680, 0.9961)  6 Nd 2.49-2.51
Nd (0.0779, 0.0779, 0.7663)  3 N 2.49, 3 O 2.61

## Properties
space group	No. 160
mass density	7.86	Mg/m³
magnetic moment	0.000	μB per atom
polymorph energy (0 for the lowest one)	139	meV/atom
formation energy (no corrections)	-2.008	eV per atom
DOS at the Fermi energy	0.389	states/eV/atom



Density functional theory data (PBE) for a geometry-optimized NdPaN2O structure.

Cell: 3.3818 6.0682 7.6360 Å, 90.00 90.00 106.18°
With the nearest neighbours (Å) after each atom.
Fractional positions:
Nd (0.0000, 0.0000, 0.0000)  2 O 2.35, 4 N 2.53
O (0.8827, 0.7654, 0.7500)  2 Pa 2.30, 2 Nd 2.35
Pa (0.7508, 0.5016, 0.2500)  2 O 2.30, 4 N 2.43
N (0.3463, 0.6925, 0.0746)  2 Pa 2.43, 2 Nd 2.53, 1 N 2.68
N (0.6537, 0.3075, 0.5746)  2 Pa 2.43, 2 Nd 2.53, 1 N 2.68
O (0.1173, 0.2346, 0.2500)  2 Pa 2.30, 2 Nd 2.35
N (0.3463, 0.6925, 0.4254)  2 Pa 2.43, 2 Nd 2.53, 1 N 2.68
Nd (0.0000, 0.0000, 0.5000)  2 O 2.35, 4 N 2.53
N (0.6537, 0.3075, 0.9254)  2 Pa 2.43, 2 Nd 2.53, 1 N 2.68
Pa (0.2492, 0.4984, 0.7500)  2 O 2.30, 4 N 2.43

## Properties
space group	No. 63
mass density	9.25	Mg/m³
magnetic moment	0.000	μB per atom
formation energy (no corrections)	-1.879	eV per atom
DOS at the Fermi energy	0.146	states/eV/atom